1.
DFT (PBE-GGA) results for an optimized crystal structure of DyPuSc2P4.

Calculated values
Its formation energy is -1.42 eV per atom. The total energy comes out at -8.0723 eV per atom. For the magnetic moment, the calculation gives 4.9 μB/cell. Its space group is P2/m, No. 10. As for the density: 6.253 g/cm³.

a b c (Å): 3.8913 6.6841 6.7219
angles (deg): 70.42 90.00 90.00
Each line ends with the local moment (μB).
Element x y z (fractional)
Pu  0.5000  0.5000  0.0000  4.86
P  0.5000  0.7638  0.2431  -0.04
P  0.5000  0.2362  0.7569  -0.04
Sc  0.0000  0.0000  0.0000  0.04
P  0.0000  0.7625  0.7482  -0.08
Sc  0.5000  0.0000  0.5000  0.01
Dy  0.0000  0.5000  0.5000  0.03
P  0.0000  0.2375  0.2518  -0.08

2.
DFT (PBE-GGA) results for an optimized crystal structure of SmDy2PuP4.

Calculated values
Its formation energy is -1.48 eV per atom. The total energy comes out at -7.7125 eV per atom. For the magnetic moment, the calculation gives 4.9 μB/cell. Its space group is P2/m, No. 10. As for the density: 7.586 g/cm³.

a b c (Å): 4.0344 6.9711 6.9629
angles (deg): 109.50 90.00 90.00
Each line ends with the local moment (μB).
Element x y z (fractional)
P  0.5000  0.2446  0.2488  -0.08
Pu  0.0000  0.0000  0.0000  4.90
P  0.0000  0.7558  0.2526  -0.05
Sm  0.5000  0.5000  0.0000  0.03
Dy  0.5000  0.0000  0.5000  0.02
P  0.0000  0.2442  0.7474  -0.05
P  0.5000  0.7554  0.7512  -0.08
Dy  0.0000  0.5000  0.5000  0.00

3.
DFT (PBE-GGA) results for an optimized crystal structure of TbDy2PuP4.

Calculated values
Its formation energy is -1.49 eV per atom. The total energy comes out at -7.7152 eV per atom. For the magnetic moment, the calculation gives 4.9 μB/cell. Its space group is P2/m, No. 10. As for the density: 7.785 g/cm³.

a b c (Å): 4.0137 6.9309 6.9289
angles (deg): 109.50 90.00 90.00
Each line ends with the local moment (μB).
Element x y z (fractional)
P  0.5000  0.7538  0.7529  -0.08
Tb  0.5000  0.5000  0.0000  0.03
Dy  0.0000  0.5000  0.5000  0.00
Dy  0.5000  0.0000  0.5000  0.02
Pu  0.0000  0.0000  0.0000  4.89
P  0.0000  0.2475  0.7507  -0.05
P  0.0000  0.7525  0.2493  -0.05
P  0.5000  0.2462  0.2471  -0.08

Among the records above, which one has the highest density? TbDy2PuP4

Which formula does entry 3 have? TbDy2PuP4

What is the formula in the first record? DyPuSc2P4

Which formula does entry 2 have? SmDy2PuP4